Computed, not measured: crystalline Na3U6CrF30 at its relaxed geometry at the PBE with a Hubbard U level of DFT.

Summary:
The symmetry is No. 165. The value obtained for the total energy is -6.806 eV/atom.

Cell lengths 9.9214, 9.9214, 13.0817 Å; angles 90.00, 90.00, 120.00 degrees
Positions (direct):
Na: 0.0000 0.0000 0.0000
Na: 0.0000 0.0000 0.5000
Na: 0.3333 0.6667 0.3391
Na: 0.3333 0.6667 0.8391
Na: 0.6667 0.3333 0.1609
Na: 0.6667 0.3333 0.6609
U: 0.0768 0.4010 0.1019
U: 0.0768 0.6759 0.6019
U: 0.3241 0.4010 0.6019
U: 0.3241 0.9232 0.1019
U: 0.4010 0.0768 0.3981
U: 0.4010 0.3241 0.8981
U: 0.5990 0.6759 0.1019
U: 0.5990 0.9232 0.6019
U: 0.6759 0.0768 0.8981
U: 0.6759 0.5990 0.3981
U: 0.9232 0.3241 0.3981
U: 0.9232 0.5990 0.8981
Cr: 0.0000 0.0000 0.2500
Cr: 0.0000 0.0000 0.7500
F: 0.0829 0.1818 0.1609
F: 0.0829 0.9011 0.6609
F: 0.0989 0.1818 0.6609
F: 0.0989 0.9171 0.1609
F: 0.1124 0.3084 0.4820
F: 0.1124 0.8040 0.9820
F: 0.1198 0.5305 0.9498
F: 0.1198 0.5893 0.4498
F: 0.1301 0.4349 0.2851
F: 0.1301 0.6952 0.7851
F: 0.1728 0.5123 0.6372
F: 0.1728 0.6605 0.1372
F: 0.1818 0.0829 0.3391
F: 0.1818 0.0989 0.8391
F: 0.1960 0.3084 0.9820
F: 0.1960 0.8876 0.4820
F: 0.3048 0.4349 0.7851
F: 0.3048 0.8699 0.2851
F: 0.3084 0.1124 0.0180
F: 0.3084 0.1960 0.5180
F: 0.3395 0.5123 0.1372
F: 0.3395 0.8272 0.6372
F: 0.4107 0.5305 0.4498
F: 0.4107 0.8802 0.9498
F: 0.4349 0.1301 0.2149
F: 0.4349 0.3048 0.7149
F: 0.4695 0.5893 0.9498
F: 0.4695 0.8802 0.4498
F: 0.4877 0.6605 0.6372
F: 0.4877 0.8272 0.1372
F: 0.5123 0.1728 0.8628
F: 0.5123 0.3395 0.3628
F: 0.5305 0.1198 0.5502
F: 0.5305 0.4107 0.0502
F: 0.5651 0.6952 0.2851
F: 0.5651 0.8699 0.7851
F: 0.5893 0.1198 0.0502
F: 0.5893 0.4695 0.5502
F: 0.6605 0.1728 0.3628
F: 0.6605 0.4877 0.8628
F: 0.6916 0.8040 0.4820
F: 0.6916 0.8876 0.9820
F: 0.6952 0.1301 0.7149
F: 0.6952 0.5651 0.2149
F: 0.8040 0.1124 0.5180
F: 0.8040 0.6916 0.0180
F: 0.8182 0.9011 0.1609
F: 0.8182 0.9171 0.6609
F: 0.8272 0.3395 0.8628
F: 0.8272 0.4877 0.3628
F: 0.8699 0.3048 0.2149
F: 0.8699 0.5651 0.7149
F: 0.8802 0.4107 0.5502
F: 0.8802 0.4695 0.0502
F: 0.8876 0.1960 0.0180
F: 0.8876 0.6916 0.5180
F: 0.9011 0.0829 0.8391
F: 0.9011 0.8182 0.3391
F: 0.9171 0.0989 0.3391
F: 0.9171 0.8182 0.8391